[1]
## Tl2GaGePb (GGA-PBE)

Data for Tl2GaGePb after structural relaxation.

Cell lengths 6.079, 5.356, 6.079 Å; angles 90.00, 90.00, 90.00 degrees
Sites, in units of the cell vectors:
1 Pb 0.000 0.000 0.000
2 Tl 0.000 0.000 0.500
3 Tl 0.500 0.000 0.000
4 Ge 0.000 0.500 0.000
5 Ga 0.500 0.500 0.500

[2]
## TlGaGePb (GGA-PBE)

Data for TlGaGePb after structural relaxation.

Cell lengths 5.284, 5.284, 5.284 Å; angles 60.00, 60.00, 60.00 degrees
Sites, in units of the cell vectors:
1 Pb 0.000 0.000 0.000
2 Tl 0.500 0.500 0.500
3 Ge 0.250 0.250 0.250
4 Ga 0.750 0.750 0.750

[3]
## GaGePd3 (GGA-PBE)

Data for GaGePd3 after structural relaxation.

Summary:
* relative energy among the computed polymorphs: 0 meV/atom

Cell lengths 2.952, 8.192, 8.192 Å; angles 57.18, 90.00, 89.99 degrees
Sites, in units of the cell vectors:
1 Ga 0.363 0.694 0.746
2 Ga 0.864 0.195 0.246
3 Ge 0.363 0.695 0.246
4 Ge 0.363 0.193 0.747
5 Pd 0.863 0.397 0.837
6 Pd 0.863 0.991 0.655
7 Pd 0.863 0.603 0.043
8 Pd 0.364 0.049 0.101
9 Pd 0.863 0.785 0.450
10 Pd 0.364 0.340 0.392

[4]
## GaGe2Pd2 (GGA-PBE)

Data for GaGe2Pd2 after structural relaxation.

Summary:
* relative energy among the computed polymorphs: 101 meV/atom

Cell lengths 3.742, 3.742, 6.902 Å; angles 74.27, 74.27, 90.00 degrees
Sites, in units of the cell vectors:
1 Ge 0.750 0.250 0.500
2 Ge 0.250 0.750 0.500
3 Ga 0.000 0.000 0.000
4 Pd 0.393 0.393 0.214
5 Pd 0.607 0.607 0.786

[5]
## Ga4GePd7 (GGA-PBE)

Data for Ga4GePd7 after structural relaxation.

Cell lengths 4.617, 7.684, 6.376 Å; angles 81.43, 68.78, 72.52 degrees
Sites, in units of the cell vectors:
1 Ga 0.584 0.217 0.615
2 Ga 0.416 0.783 0.385
3 Ga 0.721 0.655 0.903
4 Ga 0.279 0.345 0.097
5 Ge 0.000 0.000 0.000
6 Pd 0.784 0.869 0.562
7 Pd 0.216 0.131 0.438
8 Pd 0.074 0.684 0.167
9 Pd 0.926 0.316 0.833
10 Pd 0.357 0.561 0.724
11 Pd 0.500 0.000 0.000
12 Pd 0.643 0.439 0.276

[6]
## GaGe2Pd2 (GGA-PBE)

Data for GaGe2Pd2 after structural relaxation.

Summary:
* relative energy among the computed polymorphs: 22 meV/atom

Cell lengths 4.443, 4.443, 5.706 Å; angles 67.09, 67.09, 90.00 degrees
Sites, in units of the cell vectors:
1 Ge 0.371 0.371 0.257
2 Ge 0.629 0.629 0.743
3 Ga 0.000 0.000 0.000
4 Pd 0.750 0.250 0.500
5 Pd 0.250 0.750 0.500

[7]
## GaGe2Pd2 (GGA-PBE)

Data for GaGe2Pd2 after structural relaxation.

Summary:
* relative energy among the computed polymorphs: 30 meV/atom

Cell lengths 7.779, 7.779, 2.846 Å; angles 90.00, 90.00, 90.00 degrees
Sites, in units of the cell vectors:
1 Ge 0.367 0.867 0.000
2 Ge 0.867 0.633 0.000
3 Ge 0.633 0.133 0.000
4 Ge 0.133 0.367 0.000
5 Ga 0.000 0.000 0.000
6 Ga 0.500 0.500 0.000
7 Pd 0.163 0.663 0.500
8 Pd 0.663 0.837 0.500
9 Pd 0.837 0.337 0.500
10 Pd 0.337 0.163 0.500

[8]
## GaGe2Pd2 (GGA-PBE)

Data for GaGe2Pd2 after structural relaxation.

Summary:
* relative energy among the computed polymorphs: 0 meV/atom

Cell lengths 7.603, 7.603, 2.959 Å; angles 90.00, 90.00, 90.00 degrees
Sites, in units of the cell vectors:
1 Ge 0.158 0.658 0.500
2 Ge 0.658 0.842 0.500
3 Ge 0.842 0.342 0.500
4 Ge 0.342 0.158 0.500
5 Ga 0.000 0.000 0.000
6 Ga 0.500 0.500 0.000
7 Pd 0.362 0.862 0.000
8 Pd 0.862 0.638 0.000
9 Pd 0.638 0.138 0.000
10 Pd 0.138 0.362 0.000

In μB/atom, the total magnetic moment values for the records above are, in order, 0.0000, 0.0000, 0.0000, 0.0000, 0.0000, 0.0000, 0.0000, 0.0000.
In eV/atom, the formation energy from the elements values for the records above are, in order, 0.681, 0.214, -0.423, -0.114, -0.413, -0.193, -0.185, -0.214.